An optimized crystal structure of BaAs2W, computed with PBEsol.

Properties
Space group ... F-43m, No. 216
Formation energy from the elements ... 0.94 eV/atom
Mass density ... 9.32 g/cm3
E ... -5.598 eV/atom
Crystal system ... cubic
Total magnetic moment ... 0.9 μB/f.u.

a b c (Å): 4.9136 4.9136 4.9136
angles (deg): 60.00 60.00 60.00
Last column: nearest neighbours and their distance in Å.
Fractional positions:
As 0.0000 0.0000 0.0000  4 As 3.01, 4 W 3.01
As 0.7500 0.7500 0.7500  4 Ba 3.01, 4 As 3.01
Ba 0.5000 0.5000 0.5000  4 As 3.01, 4 W 3.01
W 0.2500 0.2500 0.2500  4 Ba 3.01, 4 As 3.01